Record 1
Ga2Fe2Pt GGA-PBE optimized geometry; calculated formation energy = -103 meV per atom
1.0
6.6783 0.0000 0.0000
0.0000 6.6783 0.0000
0.0000 0.0000 3.1220
Ga Fe Pt
4 4 2
Direct
0.1374 0.3626 0.0000
0.3626 0.8626 0.0000
0.6374 0.1374 0.0000
0.8626 0.6374 0.0000
0.1613 0.6613 0.5000
0.3387 0.1613 0.5000
0.6613 0.8387 0.5000
0.8387 0.3387 0.5000
0.0000 0.0000 0.0000
0.5000 0.5000 0.0000



Record 2
Tm8GaCu2 GGA-PBE optimized geometry; calculated formation energy = -74 meV per atom
1.0
4.2430 -6.6572 0.0000
4.2430 6.6572 0.0000
-1.5572 0.0000 5.0221
Tm Ga Cu
8 1 2
Direct
0.0000 0.0000 0.0000
0.0522 0.3009 0.5950
0.1540 0.6160 0.1921
0.3009 0.0522 0.5950
0.4693 0.7180 0.7887
0.6160 0.1540 0.1921
0.7180 0.4693 0.7887
0.7704 0.7704 0.3844
0.3851 0.3851 0.1950
0.0792 0.6913 0.6921
0.6913 0.0792 0.6921



Record 3
Al8Ir2W GGA-PBE optimized geometry; calculated formation energy = -520 meV per atom
1.0
-2.0411 3.7271 5.5504
2.0411 -3.7271 5.5504
2.0411 3.7271 -5.5504
Al Ir W
8 2 1
Direct
0.1223 0.3411 0.7812
0.1490 0.1490 0.0000
0.3106 0.0000 0.3106
0.4402 0.6589 0.7812
0.5598 0.3411 0.2188
0.6894 0.0000 0.6894
0.8510 0.8510 0.0000
0.8777 0.6589 0.2188
0.2996 0.7996 0.5000
0.7004 0.2004 0.5000
0.0000 0.5000 0.5000



Record 4
Y2ZnInAu GGA-PBE optimized geometry; calculated formation energy = -35 meV per atom
1.0
5.3719 0.0000 0.0000
0.0000 5.3719 0.0000
0.0000 0.0000 4.7515
Y Zn In Au
2 1 1 1
Direct
0.0000 0.5000 0.0000
0.5000 0.0000 0.0000
0.0000 0.0000 0.0000
0.5000 0.5000 0.5000
0.0000 0.0000 0.5000



Record 5
Pm5Tm4Th GGA-PBE optimized geometry; calculated formation energy = 42 meV per atom
1.0
8.4931 -1.7654 0.0000
8.4931 1.7654 0.0000
-3.6628 0.0000 10.8682
Pm Tm Th
5 4 1
Direct
0.0000 0.0000 0.0000
0.2962 0.2962 0.3875
0.3102 0.3102 0.9196
0.6898 0.6898 0.0804
0.7038 0.7038 0.6125
0.1049 0.1049 0.7980
0.4191 0.4191 0.7042
0.5809 0.5809 0.2958
0.8951 0.8951 0.2020
0.0000 0.0000 0.5000



Record 6
ZrTlTe3 GGA-PBE optimized geometry; formation energy without anion corrections = -0.42 eV per atom
1.0
5.6595 0.0000 0.0000
0.0000 5.6595 0.0000
0.0000 0.0000 5.6595
Zr Tl Te
1 1 3
Direct
0.0000 0.0000 0.0000
0.5000 0.5000 0.5000
0.0000 0.0000 0.5000
0.0000 0.5000 0.0000
0.5000 0.0000 0.0000



Record 7
LiU2NiS5 GGA-PBE optimized geometry; formation energy without anion corrections = -1.22 eV per atom
1.0
1.8411 -7.7688 0.0000
1.8411 7.7688 0.0000
0.0000 0.0000 11.3065
Li U Ni S
2 4 2 10
Direct
0.1719 0.8281 0.5000
0.8281 0.1719 0.0000
0.1191 0.8809 0.8152
0.1239 0.8761 0.1675
0.8761 0.1239 0.6675
0.8809 0.1191 0.3152
0.4516 0.5484 0.8843
0.5484 0.4516 0.3843
0.0072 0.9928 0.4777
0.3059 0.6941 0.1616
0.3139 0.6861 0.8270
0.3345 0.6655 0.4907
0.4949 0.5051 0.2088
0.5051 0.4949 0.7088
0.6655 0.3345 0.9907
0.6861 0.3139 0.3270
0.6941 0.3059 0.6616
0.9928 0.0072 0.9777



Record 8
YTa2Sb GGA-PBE optimized geometry; formation energy without anion corrections = 0.42 eV per atom
1.0
3.2722 0.0000 0.0000
-1.6361 2.8338 0.0000
0.0000 0.0000 28.6878
Y Ta Sb
3 6 3
Direct
0.0000 0.0000 0.0000
0.3333 0.6667 0.6667
0.6667 0.3333 0.3333
0.0000 0.0000 0.2432
0.0000 0.0000 0.7568
0.3333 0.6667 0.4235
0.3333 0.6667 0.9099
0.6667 0.3333 0.0901
0.6667 0.3333 0.5765
0.0000 0.0000 0.5000
0.3333 0.6667 0.1667
0.6667 0.3333 0.8333



Record 9
AcAg4As GGA-PBE optimized geometry; calculated formation energy = -199 meV per atom
1.0
0.0000 4.0520 4.0520
4.0520 0.0000 4.0520
4.0520 4.0520 0.0000
Ac Ag As
1 4 1
Direct
0.0000 0.0000 0.0000
0.1271 0.6243 0.6243
0.6243 0.1271 0.6243
0.6243 0.6243 0.1271
0.6243 0.6243 0.6243
0.2500 0.2500 0.2500



Record 10
LaIrCl2 GGA-PBE optimized geometry; formation energy without anion corrections = -0.96 eV per atom
1.0
4.2136 0.0000 0.0000
-2.1068 3.6491 0.0000
0.0000 0.0000 21.4350
La Ir Cl
3 3 6
Direct
0.0000 0.0000 0.0000
0.3333 0.6667 0.6667
0.6667 0.3333 0.3333
0.0000 0.0000 0.7396
0.3333 0.6667 0.4063
0.6667 0.3333 0.0730
0.0000 0.0000 0.2516
0.0000 0.0000 0.4276
0.3333 0.6667 0.0943
0.3333 0.6667 0.9182
0.6667 0.3333 0.5849
0.6667 0.3333 0.7610



Record 11
LiAl2Ga GGA-PBE optimized geometry; calculated formation energy = 118 meV per atom
1.0
2.8667 0.0000 0.0000
-1.4333 2.4826 0.0000
0.0000 0.0000 30.5652
Li Al Ga
3 6 3
Direct
0.0000 0.0000 0.0000
0.3333 0.6667 0.6667
0.6667 0.3333 0.3333
0.0000 0.0000 0.0886
0.0000 0.0000 0.9114
0.3333 0.6667 0.5781
0.3333 0.6667 0.7553
0.6667 0.3333 0.2447
0.6667 0.3333 0.4219
0.0000 0.0000 0.5000
0.3333 0.6667 0.1667
0.6667 0.3333 0.8333



Record 12
Re2IrBr GGA-PBE optimized geometry; formation energy without anion corrections = 0.68 eV per atom
1.0
2.8337 0.0000 0.0000
0.0000 3.7834 0.0000
0.0000 0.0000 6.6553
Re Ir Br
2 1 1
Direct
0.0000 0.0000 0.1874
0.0000 0.0000 0.8126
0.5000 0.5000 0.0000
0.0000 0.5000 0.5000



Record 13
BaZr2Se GGA-PBE optimized geometry; formation energy without anion corrections = 0.25 eV per atom
1.0
7.5070 0.0000 0.0000
0.0000 7.5070 0.0000
0.0000 0.0000 7.5070
Ba Zr Se
4 8 4
Direct
0.0000 0.0000 0.0000
0.0000 0.5000 0.5000
0.5000 0.0000 0.5000
0.5000 0.5000 0.0000
0.0000 0.0000 0.5000
0.0000 0.5000 0.0000
0.2500 0.2500 0.7500
0.2500 0.7500 0.2500
0.5000 0.0000 0.0000
0.5000 0.5000 0.5000
0.7500 0.2500 0.2500
0.7500 0.7500 0.7500
0.2500 0.2500 0.2500
0.2500 0.7500 0.7500
0.7500 0.2500 0.7500
0.7500 0.7500 0.2500



Record 14
Li14GaGe GGA-PBE optimized geometry; calculated formation energy = -124 meV per atom
1.0
6.6274 0.0000 0.0000
0.0000 6.6274 0.0000
0.0000 0.0000 6.3974
Li Ga Ge
14 1 1
Direct
0.0000 0.0000 0.0000
0.0000 0.5000 0.0000
0.0000 0.5000 0.5000
0.2460 0.2460 0.2783
0.2460 0.2460 0.7217
0.2460 0.7540 0.2783
0.2460 0.7540 0.7217
0.5000 0.0000 0.0000
0.5000 0.0000 0.5000
0.5000 0.5000 0.0000
0.7540 0.2460 0.2783
0.7540 0.2460 0.7217
0.7540 0.7540 0.2783
0.7540 0.7540 0.7217
0.5000 0.5000 0.5000
0.0000 0.0000 0.5000



Record 15
BaY2MnS GGA-PBE optimized geometry; formation energy without anion corrections = -0.14 eV per atom
1.0
5.5146 0.0000 0.0000
0.0000 5.5146 0.0000
0.0000 0.0000 4.2339
Ba Y Mn S
1 2 1 1
Direct
0.0000 0.0000 0.0000
0.0000 0.5000 0.5000
0.5000 0.0000 0.5000
0.5000 0.5000 0.0000
0.5000 0.5000 0.5000



Record 16
Ca2Ta GGA-PBE optimized geometry; calculated formation energy = 534 meV per atom
1.0
8.3922 0.0000 0.0000
0.0000 8.3922 0.0000
0.0000 0.0000 5.2380
Ca Ta
8 4
Direct
0.1630 0.3370 0.0000
0.1630 0.6630 0.5000
0.3370 0.1630 0.5000
0.3370 0.8370 0.0000
0.6630 0.1630 0.0000
0.6630 0.8370 0.5000
0.8370 0.3370 0.5000
0.8370 0.6630 0.0000
0.0000 0.0000 0.2500
0.0000 0.0000 0.7500
0.5000 0.5000 0.2500
0.5000 0.5000 0.7500



Record 17
SrTl4Mo GGA-PBE optimized geometry; calculated formation energy = 535 meV per atom
1.0
0.0000 4.4674 4.4674
4.4674 0.0000 4.4674
4.4674 4.4674 0.0000
Sr Tl Mo
1 4 1
Direct
0.0000 0.0000 0.0000
0.1275 0.6242 0.6242
0.6242 0.1275 0.6242
0.6242 0.6242 0.1275
0.6242 0.6242 0.6242
0.2500 0.2500 0.2500



Record 18
CrSbPb2 GGA-PBE optimized geometry; formation energy without anion corrections = 0.47 eV per atom
1.0
3.4416 0.0000 0.0000
-1.7208 2.9805 0.0000
0.0000 0.0000 30.9349
Cr Sb Pb
3 3 6
Direct
0.0000 0.0000 0.0000
0.3333 0.6667 0.6667
0.6667 0.3333 0.3333
0.0000 0.0000 0.5000
0.3333 0.6667 0.1667
0.6667 0.3333 0.8333
0.0000 0.0000 0.2586
0.0000 0.0000 0.7414
0.3333 0.6667 0.4081
0.3333 0.6667 0.9253
0.6667 0.3333 0.0747
0.6667 0.3333 0.5919



Record 19
LiFePt GGA-PBE optimized geometry; calculated formation energy = -139 meV per atom
1.0
3.1229 0.0000 0.0000
0.0000 3.1229 0.0000
0.0000 0.0000 8.2760
Li Fe Pt
2 2 2
Direct
0.0000 0.0000 0.0000
0.5000 0.5000 0.5000
0.0000 0.0000 0.3295
0.5000 0.5000 0.8295
0.0000 0.0000 0.6663
0.5000 0.5000 0.1663



Record 20
RbSr2Al2 GGA-PBE optimized geometry; calculated formation energy = 146 meV per atom
1.0
4.0280 0.0000 0.0000
0.0000 4.0280 0.0000
0.0000 0.0000 26.6401
Rb Sr Al
2 4 4
Direct
0.0000 0.0000 0.0000
0.5000 0.5000 0.5000
0.0000 0.0000 0.3537
0.0000 0.0000 0.6463
0.5000 0.5000 0.1463
0.5000 0.5000 0.8537
0.0000 0.5000 0.2500
0.0000 0.5000 0.7500
0.5000 0.0000 0.2500
0.5000 0.0000 0.7500



Record 21
Tb2Dy5Tm6 GGA-PBE optimized geometry; calculated formation energy = 100 meV per atom
1.0
11.4987 0.0000 0.0000
0.0000 20.0152 0.0000
0.0000 0.0000 3.5319
Tb Dy Tm
4 10 12
Direct
0.1686 0.2105 0.0000
0.3314 0.7105 0.0000
0.6686 0.2895 0.0000
0.8314 0.7895 0.0000
0.0000 0.5000 0.5000
0.0879 0.7733 0.5000
0.1989 0.0494 0.5000
0.3011 0.5494 0.5000
0.4121 0.2733 0.5000
0.5000 0.0000 0.5000
0.5879 0.7267 0.5000
0.6989 0.4506 0.5000
0.8011 0.9506 0.5000
0.9121 0.2267 0.5000
0.0593 0.9192 0.0000
0.0817 0.6311 0.0000
0.1748 0.3654 0.5000
0.3252 0.8654 0.5000
0.4183 0.1311 0.0000
0.4407 0.4192 0.0000
0.5593 0.5808 0.0000
0.5817 0.8689 0.0000
0.6748 0.1346 0.5000
0.8252 0.6346 0.5000
0.9183 0.3689 0.0000
0.9407 0.0808 0.0000



no.,DOS at the Fermi energy (states/eV/f.u.),E (eV/atom)
1,4.22,-5.907
2,15.49,-4.346
3,3.23,-6.031
4,4.73,-4.079
5,14.77,-4.864
6,2.15,-4.489
7,8.97,-6.872
8,4.59,-8.154
9,1.83,-3.559
10,0.32,-5.335
11,1.27,-2.988
12,3.50,-8.173
13,5.43,-5.375
14,5.00,-2.276
15,6.29,-5.767
16,2.46,-4.751
17,5.38,-3.128
18,3.19,-4.817
19,3.71,-5.611
20,4.53,-2.218
21,16.01,-4.447